## PmAlCrO6 (GGA+U)

Data for a geometry-optimized PmAlCrO6 structure.

Cell: 4.7826 4.7826 9.3378 Å, 90.00 90.00 90.00°
With the nearest neighbours (Å) after each atom.
Fractional positions:
O1 0.8303 0.1697 0.5021  1 Cr 1.85, 1 Al 1.90
Pm1 0.0000 0.0000 0.9946  6 O 2.24-2.44
O2 0.2705 0.2705 0.6968  1 Cr 1.87, 1 Al 2.05
Cr1 0.5000 0.5000 0.1574  6 O 1.85-2.06
O3 0.1697 0.8303 0.5021  1 Cr 1.85, 1 Al 1.90
O4 0.7295 0.7295 0.6968  1 Cr 1.87, 1 Al 2.05
O5 0.2295 0.7705 0.1968  1 Cr 1.87, 1 Al 2.05
O6 0.2261 0.7739 0.8051  1 Al 1.88, 1 Cr 2.06
Al1 0.0000 0.0000 0.3398  6 O 1.88-2.05
Pm2 0.5000 0.5000 0.4946  6 O 2.24-2.44
O7 0.3303 0.3303 0.0021  1 Cr 1.85, 1 Al 1.90
Al2 0.5000 0.5000 0.8398  6 O 1.88-2.05
O8 0.7261 0.7261 0.3051  1 Al 1.88, 1 Cr 2.06
O9 0.7739 0.2261 0.8051  1 Al 1.88, 1 Cr 2.06
O10 0.6697 0.6697 0.0021  1 Cr 1.85, 1 Al 1.90
O11 0.2739 0.2739 0.3051  1 Al 1.88, 1 Cr 2.06
O12 0.7705 0.2295 0.1968  1 Cr 1.87, 1 Al 2.05
Cr2 0.0000 0.0000 0.6574  6 O 1.85-2.06

Computed properties:
Uncorrected energy: -7.128 eV/atom
Spin magnetization: 0.001 μB per atom
Calculated volume: 213.6 Å³ per cell
N(E_F): 0.42 states/eV/atom